# 1
DFT (PBE) results for Pr2SmN2Cl2 after structural relaxation.

Unit cell a=4.6117 b=4.6117 c=15.1669 alpha=90.00 beta=90.00 gamma=90.00
Last column: nearest neighbours and their distance in Å.
Space group I4/mmm (No. 139)
Inequivalent atoms, fractional coordinates:
1 Pr 0.0000 0.0000 0.0991  4 N 2.75, 1 Pr 3.01
2 Sm 0.0000 0.0000 0.5000  4 N 2.31
3 N 0.0000 0.5000 0.0000  2 Sm 2.31
4 Cl 0.0000 0.0000 0.3125  1 Sm 2.84

Output
DOS at the Fermi energy (states/eV/cell): 3.506
Formation energy from raw total energies (eV per atom): -1.359
Density (g cm⁻³): 5.5
DFT total energy (eV per atom): -6.3048


# 2
DFT (PBE) results for Zn2BW after structural relaxation.

Unit cell a=6.7877 b=6.7877 c=4.5658 alpha=90.00 beta=90.00 gamma=90.00
Last column: nearest neighbours and their distance in Å.
Space group I-42d (No. 122)
Inequivalent atoms, fractional coordinates:
1 Zn 0.1834 0.7500 0.1250  2 B 2.18
2 B 0.0000 0.0000 0.0000  4 Zn 2.18, 2 W 2.28
3 W 0.0000 0.0000 0.5000  2 B 2.28

Output
DOS at the Fermi energy (states/eV/cell): 7.176
ΔE to the lowest computed polymorph (eV/atom): 0.000
Density (g cm⁻³): 10.3
Formation energy from the elements (meV per atom): 564
DFT total energy (eV per atom): -4.9804